Material: Pm3PrDy3
Method: DFT, PBE-GGA
State: optimized geometry

Properties
Symmetry: No. 160

Structure (POSCAR):
```
Pm3PrDy3
1.0
5.014 2.895 2.738
-5.014 2.895 2.738
0.000 -5.790 2.738
Pm Pr Dy
3 1 3
direct
0.092 0.454 0.454
0.454 0.092 0.454
0.454 0.454 0.092
0.040 0.040 0.040
0.495 0.897 0.897
0.897 0.495 0.897
0.897 0.897 0.495
```

***

Material: PmPr3Dy7
Method: DFT, PBE-GGA
State: optimized geometry

Properties
Symmetry: No. 156

Structure (POSCAR):
```
PmPr3Dy7
1.0
7.109 0.000 0.000
-3.555 6.157 0.000
0.000 0.000 8.762
Pm Pr Dy
1 3 7
direct
0.000 0.000 0.000
0.167 0.334 0.659
0.167 0.833 0.659
0.666 0.833 0.659
0.002 0.501 0.999
0.332 0.166 0.323
0.333 0.667 0.320
0.499 0.501 0.999
0.499 0.998 0.999
0.834 0.166 0.323
0.834 0.668 0.323
```

***

Material: Pm2Pr2Dy
Method: DFT, PBE-GGA
State: optimized geometry

Properties
Symmetry: No. 15

Structure (POSCAR):
```
Pm2Pr2Dy
1.0
4.341 -4.930 0.000
4.341 4.930 0.000
-3.469 0.000 8.357
Pm Pr Dy
4 4 2
direct
0.000 0.000 0.000
0.000 0.000 0.500
0.000 0.500 0.000
0.500 0.000 0.500
0.253 0.428 0.363
0.428 0.253 0.863
0.572 0.747 0.137
0.747 0.572 0.637
0.298 0.702 0.750
0.702 0.298 0.250
```

***

Material: Pm6PrDy4
Method: DFT, PBE-GGA
State: optimized geometry

Properties
Symmetry: No. 63

Structure (POSCAR):
```
Pm6PrDy4
1.0
2.946 -4.848 0.000
2.946 4.848 0.000
0.000 0.000 25.896
Pm Pr Dy
12 2 8
direct
0.000 0.000 0.000
0.000 0.000 0.500
0.056 0.944 0.750
0.296 0.704 0.100
0.296 0.704 0.400
0.382 0.618 0.681
0.382 0.618 0.819
0.618 0.382 0.181
0.618 0.382 0.319
0.704 0.296 0.600
0.704 0.296 0.900
0.944 0.056 0.250
0.284 0.716 0.250
0.716 0.284 0.750
0.049 0.951 0.623
0.049 0.951 0.877
0.352 0.648 0.543
0.352 0.648 0.957
0.648 0.352 0.043
0.648 0.352 0.457
0.951 0.049 0.123
0.951 0.049 0.377
```

***

Material: Pm4Pr2Dy
Method: DFT, PBE-GGA
State: optimized geometry

Properties
Symmetry: No. 67

Structure (POSCAR):
```
Pm4Pr2Dy
1.0
8.225 -8.231 0.000
8.225 8.231 0.000
0.000 0.000 3.678
Pm Pr Dy
8 4 2
direct
0.033 0.250 0.004
0.250 0.033 0.996
0.250 0.467 0.996
0.467 0.250 0.004
0.533 0.750 0.996
0.750 0.533 0.004
0.750 0.967 0.004
0.967 0.750 0.996
0.000 0.000 0.500
0.000 0.500 0.500
0.500 0.000 0.500
0.500 0.500 0.500
0.250 0.750 0.495
0.750 0.250 0.505
```

***

Material: PmPr12Dy7
Method: DFT, PBE-GGA
State: optimized geometry

Properties
Symmetry: No. 148

Structure (POSCAR):
```
PmPr12Dy7
1.0
9.870 5.699 2.098
-9.870 5.699 2.098
0.000 -11.397 2.098
Pm Pr Dy
1 12 7
direct
0.000 0.000 0.000
0.067 0.422 0.421
0.088 0.911 0.499
0.089 0.501 0.912
0.421 0.067 0.422
0.422 0.421 0.067
0.499 0.088 0.911
0.501 0.912 0.089
0.578 0.579 0.933
0.579 0.933 0.578
0.911 0.499 0.088
0.912 0.089 0.501
0.933 0.578 0.579
0.123 0.124 0.370
0.124 0.370 0.123
0.370 0.123 0.124
0.500 0.500 0.500
0.630 0.877 0.876
0.876 0.630 0.877
0.877 0.876 0.630
```

***

Material: Pm2Pr12Dy
Method: DFT, PBE-GGA
State: optimized geometry

Properties
Symmetry: No. 125

Structure (POSCAR):
```
Pm2Pr12Dy
1.0
6.654 0.000 0.000
0.000 6.654 0.000
0.000 0.000 25.746
Pm Pr Dy
4 24 2
direct
0.250 0.750 0.232
0.250 0.750 0.768
0.750 0.250 0.232
0.750 0.250 0.768
0.066 0.566 0.387
0.066 0.934 0.613
0.082 0.582 0.938
0.082 0.918 0.062
0.250 0.250 0.163
0.250 0.250 0.286
0.250 0.250 0.714
0.250 0.250 0.837
0.418 0.582 0.062
0.418 0.918 0.938
0.434 0.566 0.613
0.434 0.934 0.387
0.566 0.066 0.613
0.566 0.434 0.387
0.582 0.082 0.062
0.582 0.418 0.938
0.750 0.750 0.163
0.750 0.750 0.286
0.750 0.750 0.714
0.750 0.750 0.837
0.918 0.082 0.938
0.918 0.418 0.062
0.934 0.066 0.387
0.934 0.434 0.613
0.250 0.750 0.500
0.750 0.250 0.500
```

***

Material: Pm2Pr7Dy3
Method: DFT, PBE-GGA
State: optimized geometry

Properties
Symmetry: No. 10

Structure (POSCAR):
```
Pm2Pr7Dy3
1.0
6.275 0.000 0.000
0.000 5.580 0.000
-0.137 0.000 12.624
Pm Pr Dy
2 7 3
direct
0.108 0.000 0.280
0.892 0.000 0.720
0.054 0.500 0.818
0.258 0.000 0.547
0.417 0.000 0.830
0.500 0.500 0.000
0.583 0.000 0.170
0.742 0.000 0.453
0.946 0.500 0.182
0.000 0.000 0.000
0.434 0.500 0.344
0.566 0.500 0.656
```

***

Material: Pm12Pr7Dy
Method: DFT, PBE-GGA
State: optimized geometry

Properties
Symmetry: No. 148

Structure (POSCAR):
```
Pm12Pr7Dy
1.0
6.164 3.559 5.409
-6.164 3.559 5.409
0.000 -7.117 5.409
Pm Pr Dy
12 7 1
direct
0.007 0.365 0.884
0.116 0.993 0.635
0.226 0.752 0.355
0.248 0.645 0.774
0.355 0.226 0.752
0.365 0.884 0.007
0.635 0.116 0.993
0.645 0.774 0.248
0.752 0.355 0.226
0.774 0.248 0.645
0.884 0.007 0.365
0.993 0.635 0.116
0.000 0.000 0.000
0.104 0.349 0.422
0.349 0.422 0.104
0.422 0.104 0.349
0.578 0.896 0.651
0.651 0.578 0.896
0.896 0.651 0.578
0.500 0.500 0.500
```

***

Material: Pm2PrDy
Method: DFT, PBE-GGA
State: optimized geometry

Properties
Symmetry: No. 119

Structure (POSCAR):
```
Pm2PrDy
1.0
-2.579 2.579 5.130
2.579 -2.579 5.130
2.579 2.579 -5.130
Pm Pr Dy
2 1 1
direct
0.000 0.000 0.000
0.750 0.250 0.500
0.250 0.750 0.500
0.500 0.500 0.000
```

***

Material: Pm7Pr3Dy
Method: DFT, PBE-GGA
State: optimized geometry

Properties
Symmetry: No. 2

Structure (POSCAR):
```
Pm7Pr3Dy
1.0
6.631 0.000 0.000
-0.744 6.823 0.000
-1.327 -1.714 8.568
Pm Pr Dy
7 3 1
direct
0.000 0.000 0.000
0.065 0.714 0.645
0.208 0.230 0.710
0.486 0.730 0.922
0.514 0.270 0.078
0.792 0.770 0.290
0.935 0.286 0.355
0.318 0.937 0.329
0.500 0.500 0.500
0.682 0.063 0.671
0.000 0.500 0.000
```

***

Material: Pm8Pr3Dy3
Method: DFT, PBE-GGA
State: optimized geometry

Properties
Symmetry: No. 71

Structure (POSCAR):
```
Pm8Pr3Dy3
1.0
-2.883 5.481 7.663
2.883 -5.481 7.663
2.883 5.481 -7.663
Pm Pr Dy
8 3 3
direct
0.058 0.397 0.661
0.061 0.221 0.840
0.264 0.603 0.661
0.381 0.221 0.160
0.619 0.779 0.840
0.736 0.397 0.339
0.939 0.779 0.160
0.942 0.603 0.339
0.319 0.819 0.500
0.500 0.500 0.000
0.681 0.181 0.500
0.000 0.000 0.000
0.298 0.000 0.298
0.702 0.000 0.702
```

***

no.,magnetization (μB per atom),DFT formation energy (meV per atom)
1,0.0000,226
2,0.0000,174
3,0.0000,223
4,0.0000,115
5,0.0000,177
6,0.0000,233
7,0.0000,308
8,0.0000,279
9,0.0000,216
10,0.0000,16
11,0.0000,118
12,0.0000,97